Below is ErThGaIr after structural relaxation, with properties calculated at the GGA-PBE level.

```
ErThGaIr
1.0
5.0496 0.0000 0.0000
2.5248 4.3731 0.0000
2.5248 1.4577 4.1230
Ir Ga Th Er
1 1 1 1
Cartesian
7.5744 4.3731 3.0922
2.5248 1.4577 1.0307
0.0000 0.0000 0.0000
5.0496 2.9154 2.0615
```

Results
ΔE_f	-0.597	eV/atom
Fermi-level density of states	2.529	states/eV/f.u.

Below is ErTiGaIr2 after structural relaxation, with properties calculated at the GGA-PBE level.

```
ErTiGaIr2
1.0
3.9693 0.0000 0.0000
0.0000 3.9693 0.0000
-1.9846 -1.9846 5.8624
Ir Ti Er Ga
2 1 1 1
Cartesian
0.0000 0.0000 4.5572
1.9846 1.9846 1.3051
1.9846 0.0000 2.9312
0.0000 0.0000 0.0000
0.0000 1.9846 2.9312
```

Results
ΔE_f	-0.811	eV/atom
Fermi-level density of states	2.854	states/eV/f.u.

Below is ErZnGaIr after structural relaxation, with properties calculated at the GGA-PBE level.

```
ErZnGaIr
1.0
4.5619 0.0000 0.0000
2.2809 3.9507 0.0000
2.2809 1.3169 3.7247
Zn Er Ga Ir
1 1 1 1
Cartesian
6.8428 3.9507 2.7936
4.5619 2.6338 1.8624
2.2809 1.3169 0.9312
0.0000 0.0000 0.0000
```

Results
ΔE_f	-0.519	eV/atom
Fermi-level density of states	2.913	states/eV/f.u.

Below is Er2ZnGa4Ir3 after structural relaxation, with properties calculated at the GGA-PBE level.

```
Er2ZnGa4Ir3
1.0
-2.9299 1.7461 2.0355
-0.0803 -3.0705 2.5183
7.7160 5.2286 6.6212
Er Ga Zn Ir
2 4 1 3
Cartesian
5.8073 2.4271 6.2770
0.4036 2.1392 2.6212
-1.5051 -0.6622 2.2769
3.4590 4.2096 5.2430
0.0000 0.0000 0.0000
2.7519 0.3567 3.6551
2.3529 1.9521 5.5875
1.0629 -0.7878 2.2057
3.8580 2.6143 3.3106
5.1480 5.3542 6.6925
```

Results
ΔE_f	-0.631	eV/atom
Fermi-level density of states	4.948	states/eV/f.u.

Below is ErZrGaIr after structural relaxation, with properties calculated at the GGA-PBE level.

```
ErZrGaIr
1.0
-1.4728 3.6614 -2.7608
-4.6513 0.4052 -1.1824
-2.6699 3.5283 1.9025
Ir Ga Zr Er
1 1 1 1
Cartesian
-6.5955 5.6962 -1.5305
-2.1985 1.8987 -0.5102
-4.3970 3.7975 -1.0203
0.0000 0.0000 0.0000
```

Results
ΔE_f	-0.600	eV/atom
Fermi-level density of states	3.419	states/eV/f.u.

Below is KErGa4 after structural relaxation, with properties calculated at the GGA-PBE level.

```
KErGa4
1.0
-1.1339 4.4824 3.2433
-4.9301 2.7017 -0.5401
-3.8882 -0.3769 4.0787
Er Ga K
1 4 1
Cartesian
0.0000 0.0000 0.0000
-6.2249 4.2578 4.2420
-3.7504 2.9017 4.5131
-5.6558 2.0080 2.6141
-4.2733 4.4469 2.1948
-2.4880 1.7018 1.6955
```

Results
ΔE_f	-0.199	eV/atom
Fermi-level density of states	3.162	states/eV/f.u.

Below is K2ErGaO4 after structural relaxation, with properties calculated at the GGA-PBE level.

```
K2ErGaO4
1.0
5.5294 0.0000 0.0000
2.7647 6.2398 0.0000
2.7647 0.0000 10.9286
O K Ga Er
8 4 2 2
Cartesian
2.9177 1.9561 4.5860
8.4471 4.2837 6.3426
4.3000 1.1638 10.0503
4.3000 5.0761 0.8783
9.5234 5.0761 10.0503
5.3764 1.9561 6.3426
5.3764 4.2837 4.5860
3.9940 1.1638 0.8783
5.5294 0.0000 4.2123
2.7647 0.0000 6.7163
6.9117 3.1199 1.2520
6.9117 3.1199 9.6766
4.1470 3.1199 5.4643
2.7647 0.0000 0.0000
6.9117 3.1199 5.4643
0.0000 0.0000 0.0000
```

Results
formation energy from raw total energies	-1.922	eV/atom
Fermi-level density of states	0.000	states/eV/f.u.

Below is K3Er3GaS8 after structural relaxation, with properties calculated at the GGA-PBE level.

```
K3Er3GaS8
1.0
-7.7817 -0.5873 0.0661
4.2912 -5.4079 -3.6503
0.0911 -0.2180 8.7922
S K Er Ga
8 3 3 1
Cartesian
2.5064 -5.5198 2.5381
-1.7947 -0.3831 2.6347
-3.6383 -3.5550 0.7412
-1.6047 -5.8301 2.5733
-5.9058 -0.6934 2.6698
0.2389 -2.6582 4.4667
-3.6399 -3.1109 4.5051
0.2405 -3.1023 0.7029
-1.7452 -2.9976 -1.7921
2.1456 -2.7040 -1.8252
0.0000 0.0000 0.0000
-3.8453 -0.4026 4.4291
2.1911 -2.8130 2.5709
-1.6997 -3.1066 2.6040
0.0455 -0.1090 4.3961
```

Results
formation energy from raw total energies	-1.495	eV/atom
Fermi-level density of states	13.613	states/eV/f.u.

Below is K4Er3GaS8 after structural relaxation, with properties calculated at the GGA-PBE level.

```
K4Er3GaS8
1.0
-2.6940 6.8152 2.9860
-1.2269 -3.8423 7.6629
7.2704 -0.3614 -3.1016
S K Er Ga
8 4 3 1
Cartesian
4.1932 2.0700 4.5416
1.7981 -1.3053 4.6016
-0.8437 0.5415 3.0057
-2.2524 4.1051 4.5671
1.5514 3.9168 2.9457
0.5628 2.1368 6.1164
5.6019 -1.4936 2.9802
2.7867 0.4747 1.4309
2.2882 3.2269 -0.0578
0.0000 0.0000 0.0000
-1.3470 3.4076 1.4930
3.6352 -0.1807 -1.5508
1.6747 1.3058 3.7737
-1.9604 1.4864 5.3244
3.0217 -2.1019 2.2807
-0.6134 -1.9212 3.8315
```

Results
formation energy from raw total energies	-1.586	eV/atom

Below is K2ErGaS4 after structural relaxation, with properties calculated at the GGA-PBE level.

```
K2ErGaS4
1.0
-0.4406 -3.4903 -7.3457
-5.9561 -4.8091 2.7806
-0.5660 8.1911 0.7586
K Ga S Er
4 2 8 2
Cartesian
-0.2830 4.0955 0.3793
-3.1984 -4.1497 -2.2825
-0.5033 2.3504 -3.2935
-0.2204 -1.7452 -3.6728
-1.0066 4.7008 -6.5871
-3.4814 -0.0541 -1.9032
-1.9315 1.6175 -0.6885
-5.0717 3.6861 1.2997
-1.6766 -1.7019 -0.9820
-2.3867 0.2503 -4.3363
-1.8910 -3.7944 -5.1063
-5.0312 -1.7258 -3.1179
-5.2861 1.5937 -2.8244
-4.5759 -0.3586 0.5298
-3.7016 -1.7993 -5.5761
-2.9781 -2.4045 1.3903
```

Results
formation energy from raw total energies	-1.240	eV/atom

Below is K2ErGaSe4 after structural relaxation, with properties calculated at the GGA-PBE level.

```
K2ErGaSe4
1.0
8.5337 -0.0755 -0.1587
-0.0815 8.5337 -0.1587
-4.2617 -4.2647 6.1490
K Er Se Ga
4 2 8 2
Cartesian
-2.1308 -2.1323 3.0745
4.2669 -0.0377 -0.0793
4.2261 4.2291 -0.1587
2.1360 -2.1701 2.9951
-0.0407 4.2668 -0.0793
6.3622 2.0590 2.8364
4.1101 3.9116 3.1079
6.6235 2.0353 -0.0151
0.0805 0.2820 2.7237
-2.4328 2.1582 5.8467
4.2074 0.1880 3.0594
-0.0168 4.0055 2.7722
1.8134 2.0161 0.1921
2.3771 2.1774 5.6395
4.2720 -4.3401 5.9903
2.0953 2.0968 2.9158
```

Results
formation energy from raw total energies	-1.156	eV/atom
Fermi-level density of states	1.327	states/eV/f.u.

Below is K3Er3GaTe8 after structural relaxation, with properties calculated at the GGA-PBE level.

```
K3Er3GaTe8
1.0
8.6507 0.0004 -0.0003
-4.3250 7.4945 -0.0359
-0.0005 -4.9606 8.5733
Te Ga K Er
8 1 3 3
Cartesian
-2.2341 3.8137 5.9533
6.5593 -1.2794 2.5837
4.3252 0.0271 6.0564
4.3253 2.6165 2.5775
2.2325 3.8131 5.9542
2.0927 -1.2788 2.5829
-0.0001 -0.0822 5.9596
0.0000 2.5072 2.4807
-0.0003 -2.4803 4.2866
-2.1625 3.7473 -0.0180
2.1629 3.7475 -0.0181
0.0000 0.0000 0.0000
-2.1628 1.2669 4.2687
2.1626 1.2671 4.2685
4.3251 -2.4801 4.2865
```

Results
formation energy from raw total energies	-1.058	eV/atom
Fermi-level density of states	6.695	states/eV/f.u.

Below is La2ErGa after structural relaxation, with properties calculated at the GGA-PBE level.

```
La2ErGa
1.0
-1.8617 3.2115 0.4147
-3.6226 0.1873 -0.8906
-4.4068 -1.6417 9.7483
Er La Ga
1 2 1
Cartesian
-4.9448 0.8794 4.6332
-2.3952 0.5228 2.0199
-3.8400 -1.0318 7.5708
-3.6567 2.2653 -0.3154
```

Results
relative energy among the computed polymorphs	115	meV/atom
ΔE_f	-0.120	eV/atom
Fermi-level density of states	6.388	states/eV/f.u.

Below is LaEr2Ga after structural relaxation, with properties calculated at the GGA-PBE level.

```
LaEr2Ga
1.0
3.5324 0.0000 0.0000
0.0000 3.5324 0.0000
0.0000 0.0000 9.0205
Er Ga La
2 1 1
Cartesian
0.0000 0.0000 1.8088
0.0000 0.0000 7.2117
1.7662 1.7662 0.0000
1.7662 1.7662 4.5102
```

Results
relative energy among the computed polymorphs	0	meV/atom
ΔE_f	-0.284	eV/atom
Fermi-level density of states	4.013	states/eV/f.u.

Below is La2ErGa after structural relaxation, with properties calculated at the GGA-PBE level.

```
La2ErGa
1.0
4.9911 0.0000 0.0000
0.0000 4.7868 0.0000
0.0000 0.0000 4.7868
Er Ga La
1 1 2
Cartesian
2.4955 0.0000 0.0000
2.4955 2.3934 2.3934
0.0000 2.3934 0.0000
0.0000 0.0000 2.3934
```

Results
relative energy among the computed polymorphs	0	meV/atom
ΔE_f	-0.235	eV/atom
Fermi-level density of states	5.401	states/eV/f.u.

Below is LaEr2Ga8 after structural relaxation, with properties calculated at the GGA-PBE level.

```
LaEr2Ga8
1.0
0.0285 -5.3140 -0.5433
5.8541 -0.0360 0.5806
-3.6534 1.9417 7.1163
Er Ga La
2 8 1
Cartesian
-0.4435 -0.4566 4.4430
2.6725 -2.9517 2.7106
-2.0744 -3.2059 4.9978
2.9459 -3.9436 -0.1113
-0.2964 -2.9768 2.8398
4.3035 -0.2025 2.1557
1.0202 -3.2229 5.3050
2.9366 -1.4065 0.1486
1.2088 -0.1854 1.8486
2.5254 -0.4315 4.3137
0.0142 -2.6570 -0.2717
```

Results
ΔE_f	-0.491	eV/atom
Fermi-level density of states	4.590	states/eV/f.u.

Below is La2ErGa2 after structural relaxation, with properties calculated at the GGA-PBE level.

```
La2ErGa2
1.0
4.3767 0.0000 1.9619
1.5697 5.2324 2.3611
-0.0361 -0.3038 5.9433
Er Ga La
1 2 2
Cartesian
0.0000 0.0000 0.0000
3.2923 3.6266 4.3810
2.6180 1.3020 5.8852
4.5930 3.4186 7.3421
1.3173 1.5100 2.9241
```

Results
ΔE_f	-0.474	eV/atom
Fermi-level density of states	5.033	states/eV/f.u.

Below is LaEr3Ga4 after structural relaxation, with properties calculated at the GGA-PBE level.

```
LaEr3Ga4
1.0
-0.8129 5.0258 0.2301
-6.7110 -0.9740 -2.4332
-3.3323 -0.9777 9.5824
Ga Er La
8 6 2
Cartesian
-7.6292 -1.4777 5.3268
-3.6537 1.7946 4.3330
-5.5363 1.7684 -1.7448
-7.2024 1.2795 3.0464
-1.9876 2.2834 -0.4582
-4.0803 -0.9626 6.6136
-3.2270 4.5518 2.0525
-6.7759 4.0367 0.7658
-1.6662 -0.4889 4.7912
-2.9056 1.7793 7.3018
-1.2396 2.2688 2.5107
-6.2612 1.2928 6.0853
-4.5950 1.7813 1.2941
0.0000 0.0000 0.0000
-3.3555 -0.4870 -1.2166
-5.0216 -0.9759 3.5746
```

Results
ΔE_f	-0.563	eV/atom
Fermi-level density of states	3.565	states/eV/f.u.

Below is La2ErGa after structural relaxation, with properties calculated at the GGA-PBE level.

```
La2ErGa
1.0
5.5060 0.0000 0.0000
2.7530 4.7683 0.0000
2.7530 1.5894 4.4956
La Er Ga
2 1 1
Cartesian
8.2590 4.7683 3.3717
2.7530 1.5894 1.1239
0.0000 0.0000 0.0000
5.5060 3.1789 2.2478
```

Results
relative energy among the computed polymorphs	107	meV/atom
ΔE_f	-0.128	eV/atom
Fermi-level density of states	6.920	states/eV/f.u.

Below is La5Er4Ga4 after structural relaxation, with properties calculated at the GGA-PBE level.

```
La5Er4Ga4
1.0
-2.0849 -4.3897 0.2893
6.7992 -5.8030 1.9082
-2.4182 -0.9736 8.7607
La Er Ga
5 4 4
Cartesian
0.0000 0.0000 0.0000
-0.8538 -2.0974 2.9828
3.1498 -9.0690 7.9753
-0.8957 -4.3952 8.7769
3.1917 -6.7712 2.1812
-0.1760 -7.5331 7.3115
2.4720 -3.6333 3.6466
-0.3884 -4.8771 5.1203
2.6844 -6.2893 5.8379
0.2711 -5.3793 2.2536
-0.7058 -1.9549 6.2125
3.0018 -9.2115 4.7456
2.0250 -5.7871 8.7045
```

Results
ΔE_f	-0.372	eV/atom
Fermi-level density of states	14.453	states/eV/f.u.

Below is La2ErGa2 after structural relaxation, with properties calculated at the GGA-PBE level.

```
La2ErGa2
1.0
-1.2981 0.5529 4.5389
-4.9210 -3.9524 1.5629
5.5061 -6.9427 4.9092
Ga Er La
4 2 4
Cartesian
-3.6435 -3.9630 1.9295
0.6148 -4.1682 3.1724
2.9305 -6.3792 9.0815
-1.3278 -6.1739 7.8387
-1.4453 -8.0447 5.5442
0.7324 -2.2974 5.4668
1.3667 -5.9301 6.0908
0.4541 -8.7257 8.6591
-2.0796 -4.4120 4.9202
-1.1670 -1.6164 2.3519
```

Results
ΔE_f	-0.474	eV/atom
Fermi-level density of states	4.474	states/eV/f.u.

Below is LaEr3Ga2 after structural relaxation, with properties calculated at the GGA-PBE level.

```
LaEr3Ga2
1.0
-4.3466 -2.7438 0.4599
4.9602 -1.7449 7.5144
-4.7732 7.3525 -1.2464
Er La Ga
6 2 4
Cartesian
0.8265 -0.3775 5.5593
-2.9804 0.3117 2.6469
-1.1792 2.5521 4.0811
-2.5482 0.2299 6.2438
-1.6114 2.6339 0.4842
-4.9861 3.2413 1.1686
-4.5476 3.1496 4.7659
0.3880 -0.2858 1.9620
2.1158 -2.1108 7.4029
-1.4381 -1.8531 4.3080
-2.7215 4.7169 2.4199
-6.2753 4.9747 -0.6750
```

Results
relative energy among the computed polymorphs	67	meV/atom
ΔE_f	-0.343	eV/atom
Fermi-level density of states	5.133	states/eV/f.u.

Below is LaEr3Ga2 after structural relaxation, with properties calculated at the GGA-PBE level.

```
LaEr3Ga2
1.0
4.9726 0.0000 0.0000
0.0000 6.5970 0.0000
0.0000 0.0000 9.5971
Ga Er La
4 6 2
Cartesian
2.4863 4.6912 8.2922
0.0000 1.8664 6.2020
0.0000 5.1649 3.3951
2.4863 1.3927 1.3049
0.0000 5.4892 6.6510
0.0000 6.3571 0.5177
2.4863 1.1052 7.9413
0.0000 2.1907 2.9461
2.4863 4.4037 1.6558
0.0000 3.0586 9.0794
2.4863 3.5804 5.2607
2.4863 0.2819 4.3364
```

Results
relative energy among the computed polymorphs	0	meV/atom
ΔE_f	-0.410	eV/atom
Fermi-level density of states	5.626	states/eV/f.u.